# 1
The following is a DFT calculation (PBE) of crystalline Nd3Al2Ga4 at its relaxed geometry.

Results
SG: C2/m (12)
D(E_F) in states/eV/f.u.: 4.03
E_tot in eV per atom: -4.39
Energy of formation in eV/atom: -0.63

a = 4.3231 Å, b = 6.0771 Å, c = 8.6251 Å
α = 100.70°, β = 90.00°, γ = 110.84°
Closest atoms and distances in Å follow each position.
Atoms (fractional coordinates):
Al1 0.6117 0.2233 0.2784  3 Ga 2.50
Al2 0.3883 0.7767 0.7216  3 Ga 2.50
Nd1 0.6652 0.3303 0.6682  8 Ga 3.24-3.32, 4 Al 3.27-3.30
Nd2 0.3348 0.6697 0.3318  8 Ga 3.24-3.32, 4 Al 3.27-3.30
Nd3 0.0000 0.0000 0.0000  8 Ga 3.25-3.32, 4 Al 3.29
Ga1 0.9423 0.8846 0.6088  1 Ga 2.49, 2 Al 2.50
Ga2 0.2818 0.5636 0.9484  1 Al 2.50, 2 Ga 2.50
Ga3 0.7182 0.4364 0.0516  1 Al 2.50, 2 Ga 2.50
Ga4 0.0577 0.1154 0.3912  1 Ga 2.49, 2 Al 2.50

# 2
The following is a DFT calculation (PBE) of crystalline Nd2AlGa3Ni4 at its relaxed geometry.

Results
SG: P-4m2 (115)
D(E_F) in states/eV/f.u.: 10.00
E_tot in eV per atom: -5.11
Energy of formation in eV/atom: -0.56

a = 4.1371 Å, b = 4.1371 Å, c = 10.0398 Å
α = 90.00°, β = 90.00°, γ = 90.00°
Closest atoms and distances in Å follow each position.
Atoms (fractional coordinates):
Nd1 0.0000 0.5000 0.7532  8 Ni 3.17-3.23, 6 Ga 3.17-3.28, 2 Al 3.28
Nd2 0.5000 0.0000 0.2468  8 Ni 3.17-3.23, 6 Ga 3.17-3.28, 2 Al 3.28
Ga1 0.0000 0.0000 0.5000  4 Ni 2.46
Ga2 0.0000 0.5000 0.1245  5 Ni 2.42-2.44
Ga3 0.5000 0.0000 0.8755  5 Ni 2.42-2.44
Ni1 0.5000 0.0000 0.6328  3 Ga 2.44-2.46, 2 Al 2.46
Ni2 0.5000 0.5000 0.0000  4 Ga 2.42
Ni3 0.0000 0.5000 0.3672  3 Ga 2.44-2.46, 2 Al 2.46
Ni4 0.0000 0.0000 0.0000  4 Ga 2.42
Al1 0.5000 0.5000 0.5000  4 Ni 2.46

# 3
The following is a DFT calculation (PBE) of crystalline NdAlGa2Ni2 at its relaxed geometry.

Results
SG: P4/mmm (123)
D(E_F) in states/eV/f.u.: 4.04
E_tot in eV per atom: -4.65
Energy of formation in eV/atom: -0.29

a = 4.3582 Å, b = 4.3582 Å, c = 5.6819 Å
α = 90.00°, β = 90.00°, γ = 90.00°
Closest atoms and distances in Å follow each position.
Atoms (fractional coordinates):
Ga1 0.5000 0.5000 0.2518  4 Ni 2.61, 2 Ga 2.82-2.86
Ga2 0.5000 0.5000 0.7482  4 Ni 2.61, 2 Ga 2.82-2.86
Ni1 0.0000 0.5000 0.0000  2 Al 2.18
Ni2 0.5000 0.0000 0.0000  2 Al 2.18
Al1 0.0000 0.0000 0.0000  4 Ni 2.18
Nd1 0.0000 0.0000 0.5000  2 Al 2.84

| no. | V (Å³/f.u.) |
| --- | --- |
| 1 | 207.6 |
| 2 | 171.8 |
| 3 | 107.9 |